A relaxed CePa2Si2 crystal, computed with PBE-GGA. Values from VASP.

The structure in Quantum ESPRESSO input format:
```
&SYSTEM
  ibrav = 0, nat = 10, ntyp = 3
/
ATOMIC_SPECIES
Pa 231.04 Pa.upf
Ce 140.12 Ce.upf
Si 28.09 Si.upf
CELL_PARAMETERS angstrom
3.9325 0.0000 0.0000
0.0000 5.6203 0.1444
0.0000 -1.1517 10.4893
ATOMIC_POSITIONS angstrom
Pa 2.9494 0.4654 0.8474
Pa 0.9831 0.7867 5.7203
Ce 0.9831 3.3501 2.7996
Si 2.9494 0.9749 3.6491
Si 0.9831 3.4936 6.9846
Si 2.9494 3.3352 0.5301
Si 0.9831 1.1333 10.1036
Pa 0.9831 4.0032 9.7862
Ce 2.9494 1.1185 7.8340
Pa 2.9494 3.6819 4.9134
```

Output
The density of states at the Fermi level is 2.044 states/eV per atom. The calculation puts the raw formation energy at -4.4 kcal/mol of atoms. Its relative energy among the computed polymorphs is 0.2715 eV/atom.